# 1
DFT (PBE) results for crystalline KSb2Mo at its relaxed geometry.

## Properties
Crystal system: orthorhombic
Electronic total energy (Ry/atom): -0.3278
ΔE_f (raw) (eV/atom): 0.583

Unit cell a=3.0523 b=3.0523 c=11.8437 alpha=90.00 beta=90.00 gamma=102.34
Sites, in units of the cell vectors:
K (0.0000, 0.0000, 0.0000)
Sb (0.0000, 0.0000, 0.4219)
Sb (0.5000, 0.5000, 0.7440)
Mo (0.5000, 0.5000, 0.2507)

=====

# 2
DFT (PBE) results for crystalline K2TiTe2O6 at its relaxed geometry.

## Properties
Crystal system: monoclinic
Electronic total energy (Ry/atom): -0.4258
ΔE_f (raw) (eV/atom): -1.600

Unit cell a=5.6726 b=5.6726 c=6.5599 alpha=102.66 beta=102.66 gamma=73.87
Sites, in units of the cell vectors:
K (0.1753, 0.1753, 0.0603)
K (0.8247, 0.8247, 0.9397)
Ti (0.0000, 0.0000, 0.5000)
Te (0.4502, 0.4502, 0.7073)
Te (0.5498, 0.5498, 0.2927)
O (0.1604, 0.7637, 0.6916)
O (0.2360, 0.2360, 0.6788)
O (0.2363, 0.8396, 0.3084)
O (0.7637, 0.1604, 0.6916)
O (0.7640, 0.7640, 0.3212)
O (0.8396, 0.2363, 0.3084)

=====

# 3
DFT (PBE) results for crystalline DyTmNi4 at its relaxed geometry.

## Properties
Crystal system: cubic
Electronic total energy (Ry/atom): -0.4292
Energy of formation from the pure elements (eV/atom): -0.47

Unit cell a=5.0433 b=5.0433 c=5.0433 alpha=60.00 beta=60.00 gamma=60.00
Sites, in units of the cell vectors:
Dy (0.0000, 0.0000, 0.0000)
Tm (0.2500, 0.2500, 0.2500)
Ni (0.1258, 0.6247, 0.6247)
Ni (0.6247, 0.1258, 0.6247)
Ni (0.6247, 0.6247, 0.1258)
Ni (0.6247, 0.6247, 0.6247)

=====

# 4
DFT (PBE) results for crystalline GdTlInPd at its relaxed geometry.

## Properties
Crystal system: cubic
Electronic total energy (Ry/atom): -0.4799
Energy of formation from the pure elements (eV/atom): -0.43

Unit cell a=5.0684 b=5.0684 c=5.0684 alpha=60.00 beta=60.00 gamma=60.00
Sites, in units of the cell vectors:
Gd (0.0000, 0.0000, 0.0000)
Tl (0.7500, 0.7500, 0.7500)
In (0.5000, 0.5000, 0.5000)
Pd (0.2500, 0.2500, 0.2500)

=====

# 5
DFT (PBE) results for crystalline CoHgAs2 at its relaxed geometry.

## Properties
Crystal system: tetragonal
Electronic total energy (Ry/atom): -0.2955
Energy of formation from the pure elements (eV/atom): 0.16

Unit cell a=6.8059 b=6.8059 c=6.8059 alpha=129.04 beta=129.04 gamma=74.94
Sites, in units of the cell vectors:
Co (0.0000, 0.0000, 0.0000)
Co (0.7500, 0.2500, 0.5000)
Hg (0.2500, 0.7500, 0.5000)
Hg (0.5000, 0.5000, 0.0000)
As (0.0442, 0.6250, 0.9192)
As (0.3750, 0.2942, 0.4192)
As (0.7058, 0.1250, 0.0808)
As (0.8750, 0.9558, 0.5808)

=====

# 6
DFT (PBE) results for crystalline CaCr2Ru at its relaxed geometry.

## Properties
Crystal system: tetragonal
Electronic total energy (Ry/atom): -0.5334
Energy of formation from the pure elements (eV/atom): 0.37

Unit cell a=3.0427 b=3.0427 c=7.4007 alpha=90.00 beta=90.00 gamma=90.00
Sites, in units of the cell vectors:
Ca (0.0000, 0.0000, 0.0000)
Cr (0.0000, 0.0000, 0.5250)
Cr (0.5000, 0.5000, 0.3368)
Ru (0.5000, 0.5000, 0.7118)